# 1
VASP calculation (GGA-PBE) on AcSmPt3 after structural relaxation.

The structure in POSCAR format:
```
AcSmPt3
1.0
4.370 0.000 0.000
0.000 4.076 0.000
0.000 -2.038 13.668
Ac Sm Pt
2 2 6
direct
0.250 0.074 0.149
0.750 0.926 0.851
0.250 0.793 0.587
0.750 0.207 0.413
0.250 0.375 0.749
0.750 0.625 0.251
0.250 0.471 0.943
0.750 0.529 0.057
0.750 0.313 0.626
0.250 0.687 0.374
```

Results
Space-group type: Cmcm, No. 63
DFT formation energy, meV per atom: -1108
E, eV per cell: -64.98

=====

# 2
VASP calculation (GGA-PBE) on SrBeW3 after structural relaxation.

The structure in POSCAR format:
```
SrBeW3
1.0
4.506 0.000 0.000
0.000 4.506 0.000
0.000 0.000 4.506
Sr W Be
1 3 1
direct
0.500 0.500 0.500
0.000 0.500 0.000
0.000 0.000 0.500
0.500 0.000 0.000
0.000 0.000 0.000
```

Results
Space-group type: Pm-3m, No. 221
DFT formation energy, meV per atom: 1394
Energy relative to the lowest polymorph listed for this composition, eV/atom: 0.000
E, eV per cell: -37.30

=====

# 3
VASP calculation (GGA-PBE) on YFeCoP2 after structural relaxation.

The structure in POSCAR format:
```
YFeCoP2
1.0
-2.229 -1.094 -2.868
2.972 -1.655 -1.679
-1.339 -2.704 4.581
Y Fe Co P
1 1 1 2
direct
0.000 0.000 0.000
0.250 0.750 0.500
0.750 0.250 0.500
0.627 0.627 0.254
0.373 0.373 0.746
```

Results
Space-group type: I-4m2, No. 119
DFT formation energy, meV per atom: -997
E, eV per cell: -37.84

=====

# 4
VASP calculation (GGA-PBE) on CsPBr3 after structural relaxation.

The structure in POSCAR format:
```
CsPBr3
1.0
-1.647 -0.256 5.127
1.448 -5.189 0.207
4.925 1.441 1.654
Cs P Br
1 1 3
direct
0.500 0.500 0.500
0.000 0.000 0.000
0.000 0.500 0.000
0.000 0.000 0.500
0.500 0.000 0.000
```

Results
E_form (uncorrected), kJ/mol of formula units: -348
Space-group type: Pm-3m, No. 221
Energy relative to the lowest polymorph listed for this composition, eV/atom: 0.142
E, eV per cell: -14.89

=====

# 5
VASP calculation (GGA-PBE) on La3HgP2 after structural relaxation.

The structure in POSCAR format:
```
La3HgP2
1.0
5.080 0.000 0.000
-2.540 6.783 0.000
0.000 0.000 10.451
La Hg P
6 2 4
direct
0.619 0.238 0.049
0.096 0.192 0.750
0.619 0.238 0.451
0.904 0.808 0.250
0.381 0.762 0.951
0.381 0.762 0.549
0.226 0.452 0.250
0.774 0.548 0.750
0.000 0.000 0.000
0.000 0.000 0.500
0.482 0.964 0.250
0.518 0.036 0.750
```

Results
Space-group type: Cmcm, No. 63
DFT formation energy, meV per atom: -926
E, eV per cell: -62.93

=====

# 6
VASP calculation (GGA-PBE) on KGe2Au after structural relaxation.

The structure in POSCAR format:
```
KGe2Au
1.0
-0.170 4.327 -0.193
-2.514 1.941 -2.950
-7.225 2.080 4.341
Ge Au K
2 1 1
direct
0.132 0.132 0.604
0.868 0.868 0.396
0.500 0.500 0.500
0.000 0.000 0.000
```

Results
Space-group type: R-3m, No. 166
DFT formation energy, meV per atom: 31
E, eV per cell: -13.49

=====

# 7
VASP calculation (GGA-PBE) on H2RuF6 after structural relaxation.

The structure in POSCAR format:
```
H2RuF6
1.0
4.798 -0.188 -0.182
1.141 6.787 0.366
1.141 0.586 6.772
H Ru F
4 2 12
direct
0.186 0.649 0.620
0.314 0.380 0.351
0.814 0.351 0.380
0.686 0.620 0.649
0.250 0.088 0.912
0.750 0.912 0.088
0.371 0.693 0.578
0.129 0.422 0.307
0.629 0.307 0.422
0.871 0.578 0.693
0.868 0.880 0.339
0.632 0.661 0.120
0.132 0.120 0.661
0.368 0.339 0.880
0.131 0.806 0.969
0.369 0.031 0.194
0.869 0.194 0.031
0.631 0.969 0.806
```

Results
Space-group type: C2/c, No. 15
E, eV per cell: -82.57

=====

# 8
VASP calculation (GGA-PBE) on Zr3TaNi2N after structural relaxation.

The structure in POSCAR format:
```
Zr3TaNi2N
1.0
-1.920 3.596 0.993
-3.881 -1.795 -1.002
2.266 -2.912 6.063
Zr Ta Ni N
3 1 2 1
direct
0.000 0.500 0.000
0.186 0.186 0.372
0.814 0.814 0.628
0.500 0.000 0.000
0.623 0.623 0.246
0.377 0.377 0.754
0.000 0.000 0.000
```

Results
E_form (uncorrected), kJ/mol of formula units: -396
Space-group type: Immm, No. 71
E, eV per cell: -61.49

=====

# 9
VASP calculation (GGA-PBE) on BaPb2W after structural relaxation.

The structure in POSCAR format:
```
BaPb2W
1.0
-1.150 -4.590 -1.363
4.392 -1.572 1.587
-1.926 -0.851 4.489
Pb Ba W
2 1 1
direct
0.000 0.000 0.000
0.500 0.500 0.000
0.000 0.500 0.500
0.500 0.000 0.500
```

Results
Space-group type: P4/mmm, No. 123
DFT formation energy, meV per atom: 871
Energy relative to the lowest polymorph listed for this composition, eV/atom: 0.397
E, eV per cell: -18.81

=====

# 10
VASP calculation (GGA-PBE) on NpH10Ru3 after structural relaxation.

The structure in POSCAR format:
```
NpH10Ru3
1.0
-5.288 -3.762 -1.125
0.058 -6.360 1.712
-3.690 -2.087 5.041
Np H Ru
2 20 6
direct
0.250 0.250 0.250
0.750 0.750 0.750
0.000 0.000 0.334
0.000 0.334 0.000
0.334 0.000 0.000
0.666 0.334 0.000
0.392 0.392 0.392
0.177 0.608 0.608
0.392 0.823 0.392
0.666 0.000 0.334
0.392 0.392 0.823
0.823 0.392 0.392
0.608 0.608 0.177
0.000 0.000 0.666
0.334 0.666 0.000
0.000 0.666 0.334
0.000 0.334 0.666
0.666 0.000 0.000
0.608 0.608 0.608
0.000 0.666 0.000
0.608 0.177 0.608
0.334 0.000 0.666
0.737 0.737 0.263
0.737 0.263 0.737
0.263 0.737 0.737
0.263 0.263 0.737
0.737 0.263 0.263
0.263 0.737 0.263
```

Results
Space-group type: Fm-3m, No. 225
E, eV per cell: -147.65

=====

# 11
VASP calculation (GGA-PBE) on La2Ag2Pb after structural relaxation.

The structure in POSCAR format:
```
La2Ag2Pb
1.0
3.910 0.000 0.000
0.000 3.910 0.000
1.955 1.955 9.426
Pb Ag La
1 2 2
direct
0.000 0.000 0.000
0.750 0.250 0.500
0.250 0.750 0.500
0.390 0.390 0.220
0.610 0.610 0.780
```

Results
Space-group type: I4/mmm, No. 139
DFT formation energy, meV per atom: -233
E, eV per cell: -20.43

=====

# 12
VASP calculation (GGA-PBE) on SiSbOF2 after structural relaxation.

The structure in POSCAR format:
```
SiSbOF2
1.0
4.482 0.000 0.000
0.000 4.482 0.000
0.000 0.000 4.320
Sb Si O F
1 1 1 2
direct
0.000 0.000 0.000
0.500 0.500 0.500
0.000 0.000 0.500
0.000 0.500 0.000
0.500 0.000 0.000
```

Results
E_form (uncorrected), kJ/mol of formula units: -368
Space-group type: P4/mmm, No. 123
Energy relative to the lowest polymorph listed for this composition, eV/atom: 0.338
E, eV per cell: -22.06